The following is a PBEsol calculation of an optimized crystal structure of CaMnTc2, from Alexandria.

Structure (CIF):
```
data_CaMnTc2
_chemical_formula_sum 'Ca1 Mn1 Tc2'
_cell_length_a 5.322
_cell_length_b 5.322
_cell_length_c 2.611
_cell_angle_alpha 98.43
_cell_angle_beta 98.43
_cell_angle_gamma 119.41
_symmetry_space_group_name_H-M 'P 1'
_symmetry_Int_Tables_number 1
loop_
_symmetry_equiv_pos_as_xyz
'x,y,z'
loop_
_atom_site_label
_atom_site_type_symbol
_atom_site_fract_x
_atom_site_fract_y
_atom_site_fract_z
Ca1 Ca 0.000 0.000 0.000
Mn1 Mn 0.500 0.500 0.000
Tc1 Tc 0.000 0.500 0.500
Tc2 Tc 0.500 0.000 0.500
```

Summary:
Energy of formation (eV per atom): 0.679
SG: C2/m (12)
Uncorrected energy (eV/atom): -7.9282
Crystal system: monoclinic
Energy above the most stable polymorph in this dataset (meV per atom): 117



The following is a PBEsol calculation of an optimized crystal structure of Tl5Hg, from Alexandria.

Structure (CIF):
```
data_Tl5Hg
_chemical_formula_sum 'Tl5 Hg1'
_cell_length_a 5.934
_cell_length_b 5.934
_cell_length_c 5.404
_cell_angle_alpha 90.00
_cell_angle_beta 90.00
_cell_angle_gamma 120.00
_symmetry_space_group_name_H-M 'P 1'
_symmetry_Int_Tables_number 1
loop_
_symmetry_equiv_pos_as_xyz
'x,y,z'
loop_
_atom_site_label
_atom_site_type_symbol
_atom_site_fract_x
_atom_site_fract_y
_atom_site_fract_z
Tl1 Tl 0.000 0.327 0.000
Tl2 Tl 0.327 0.000 0.000
Tl3 Tl 0.333 0.667 0.500
Tl4 Tl 0.667 0.333 0.500
Tl5 Tl 0.673 0.673 0.000
Hg1 Hg 0.000 0.000 0.500
```

Summary:
Energy of formation (eV per atom): 0.005
SG: P-62m (189)
Uncorrected energy (eV/atom): -2.2808
Crystal system: hexagonal
Energy above the most stable polymorph in this dataset (meV per atom): 3



The following is a PBEsol calculation of an optimized crystal structure of CrRhO2F, from Alexandria.

Structure (CIF):
```
data_CrRhO2F
_chemical_formula_sum 'Cr1 Rh1 O2 F1'
_cell_length_a 3.722
_cell_length_b 3.722
_cell_length_c 3.795
_cell_angle_alpha 90.00
_cell_angle_beta 90.00
_cell_angle_gamma 90.00
_symmetry_space_group_name_H-M 'P 1'
_symmetry_Int_Tables_number 1
loop_
_symmetry_equiv_pos_as_xyz
'x,y,z'
loop_
_atom_site_label
_atom_site_type_symbol
_atom_site_fract_x
_atom_site_fract_y
_atom_site_fract_z
Cr1 Cr 0.000 0.000 0.000
Rh1 Rh 0.500 0.500 0.500
O1 O 0.000 0.500 0.000
O2 O 0.500 0.000 0.000
F1 F 0.000 0.000 0.500
```

Summary:
ΔE_f (raw) (kJ/mol of formula units): -363
SG: P4/mmm (123)
Uncorrected energy (eV/atom): -6.9135
Crystal system: tetragonal



The following is a PBEsol calculation of an optimized crystal structure of GdCu4Pd, from Alexandria.

Structure (CIF):
```
data_GdCu4Pd
_chemical_formula_sum 'Gd1 Cu4 Pd1'
_cell_length_a 4.933
_cell_length_b 4.933
_cell_length_c 4.933
_cell_angle_alpha 60.00
_cell_angle_beta 60.00
_cell_angle_gamma 60.00
_symmetry_space_group_name_H-M 'P 1'
_symmetry_Int_Tables_number 1
loop_
_symmetry_equiv_pos_as_xyz
'x,y,z'
loop_
_atom_site_label
_atom_site_type_symbol
_atom_site_fract_x
_atom_site_fract_y
_atom_site_fract_z
Gd1 Gd 0.000 0.000 0.000
Cu1 Cu 0.128 0.624 0.624
Cu2 Cu 0.624 0.128 0.624
Cu3 Cu 0.624 0.624 0.128
Cu4 Cu 0.624 0.624 0.624
Pd1 Pd 0.250 0.250 0.250
```

Summary:
Energy of formation (eV per atom): -0.334
SG: F-43m (216)
Uncorrected energy (eV/atom): -6.6243
Crystal system: cubic
Energy above the most stable polymorph in this dataset (meV per atom): 0



The following is a PBEsol calculation of an optimized crystal structure of HfPtSN2, from Alexandria.

Structure (CIF):
```
data_HfPtSN2
_chemical_formula_sum 'Hf1 Pt1 S1 N2'
_cell_length_a 3.873
_cell_length_b 3.873
_cell_length_c 4.612
_cell_angle_alpha 90.00
_cell_angle_beta 90.00
_cell_angle_gamma 90.00
_symmetry_space_group_name_H-M 'P 1'
_symmetry_Int_Tables_number 1
loop_
_symmetry_equiv_pos_as_xyz
'x,y,z'
loop_
_atom_site_label
_atom_site_type_symbol
_atom_site_fract_x
_atom_site_fract_y
_atom_site_fract_z
Hf1 Hf 0.000 0.000 0.000
Pt1 Pt 0.500 0.500 0.500
S1 S 0.500 0.500 0.000
N1 N 0.000 0.500 0.500
N2 N 0.500 0.000 0.500
```

Summary:
ΔE_f (raw) (kJ/mol of formula units): 318
SG: P4/mmm (123)
Uncorrected energy (eV/atom): -7.1222
Crystal system: tetragonal



The following is a PBEsol calculation of an optimized crystal structure of KCaAg4, from Alexandria.

Structure (CIF):
```
data_KCaAg4
_chemical_formula_sum 'K1 Ca1 Ag4'
_cell_length_a 5.708
_cell_length_b 5.708
_cell_length_c 5.708
_cell_angle_alpha 60.00
_cell_angle_beta 60.00
_cell_angle_gamma 60.00
_symmetry_space_group_name_H-M 'P 1'
_symmetry_Int_Tables_number 1
loop_
_symmetry_equiv_pos_as_xyz
'x,y,z'
loop_
_atom_site_label
_atom_site_type_symbol
_atom_site_fract_x
_atom_site_fract_y
_atom_site_fract_z
K1 K 0.000 0.000 0.000
Ca1 Ca 0.250 0.250 0.250
Ag1 Ag 0.126 0.625 0.625
Ag2 Ag 0.625 0.126 0.625
Ag3 Ag 0.625 0.625 0.126
Ag4 Ag 0.625 0.625 0.625
```

Summary:
Energy of formation (eV per atom): -0.068
SG: F-43m (216)
Uncorrected energy (eV/atom): -2.8202
Crystal system: cubic



The following is a PBEsol calculation of an optimized crystal structure of LaPbSe2N, from Alexandria.

Structure (CIF):
```
data_LaPbSe2N
_chemical_formula_sum 'La1 Pb1 Se2 N1'
_cell_length_a 5.780
_cell_length_b 5.780
_cell_length_c 4.112
_cell_angle_alpha 90.00
_cell_angle_beta 90.00
_cell_angle_gamma 90.00
_symmetry_space_group_name_H-M 'P 1'
_symmetry_Int_Tables_number 1
loop_
_symmetry_equiv_pos_as_xyz
'x,y,z'
loop_
_atom_site_label
_atom_site_type_symbol
_atom_site_fract_x
_atom_site_fract_y
_atom_site_fract_z
La1 La 0.000 0.000 0.000
Pb1 Pb 0.500 0.500 0.500
Se1 Se 0.000 0.500 0.000
Se2 Se 0.500 0.000 0.000
N1 N 0.000 0.000 0.500
```

Summary:
ΔE_f (raw) (kJ/mol of formula units): -47
SG: P4/mmm (123)
Uncorrected energy (eV/atom): -5.2121
Crystal system: tetragonal



The following is a PBEsol calculation of an optimized crystal structure of ReOs2Pt, from Alexandria.

Structure (CIF):
```
data_ReOs2Pt
_chemical_formula_sum 'Re1 Os2 Pt1'
_cell_length_a 4.706
_cell_length_b 4.706
_cell_length_c 2.731
_cell_angle_alpha 90.00
_cell_angle_beta 90.00
_cell_angle_gamma 109.28
_symmetry_space_group_name_H-M 'P 1'
_symmetry_Int_Tables_number 1
loop_
_symmetry_equiv_pos_as_xyz
'x,y,z'
loop_
_atom_site_label
_atom_site_type_symbol
_atom_site_fract_x
_atom_site_fract_y
_atom_site_fract_z
Re1 Re 0.000 0.000 0.000
Os1 Os 0.000 0.500 0.500
Os2 Os 0.500 0.000 0.500
Pt1 Pt 0.500 0.500 0.000
```

Summary:
Energy of formation (eV per atom): 0.101
SG: Cmmm (65)
Uncorrected energy (eV/atom): -11.0810
Crystal system: orthorhombic
Energy above the most stable polymorph in this dataset (meV per atom): 42



The following is a PBEsol calculation of an optimized crystal structure of Y2AlSb, from Alexandria.

Structure (CIF):
```
data_Y2AlSb
_chemical_formula_sum 'Y2 Al1 Sb1'
_cell_length_a 5.260
_cell_length_b 5.260
_cell_length_c 3.616
_cell_angle_alpha 90.19
_cell_angle_beta 90.19
_cell_angle_gamma 103.38
_symmetry_space_group_name_H-M 'P 1'
_symmetry_Int_Tables_number 1
loop_
_symmetry_equiv_pos_as_xyz
'x,y,z'
loop_
_atom_site_label
_atom_site_type_symbol
_atom_site_fract_x
_atom_site_fract_y
_atom_site_fract_z
Y1 Y 0.000 0.500 0.000
Y2 Y 0.500 0.000 0.000
Al1 Al 0.000 0.000 0.500
Sb1 Sb 0.500 0.500 0.500
```

Summary:
ΔE_f (raw) (kJ/mol of formula units): -230
SG: C2/m (12)
Uncorrected energy (eV/atom): -6.1691
Crystal system: monoclinic
Energy above the most stable polymorph in this dataset (meV per atom): 192



The following is a PBEsol calculation of an optimized crystal structure of LiTa3Al, from Alexandria.

Structure (CIF):
```
data_LiTa3Al
_chemical_formula_sum 'Li1 Ta3 Al1'
_cell_length_a 4.354
_cell_length_b 4.354
_cell_length_c 4.354
_cell_angle_alpha 90.00
_cell_angle_beta 90.00
_cell_angle_gamma 90.00
_symmetry_space_group_name_H-M 'P 1'
_symmetry_Int_Tables_number 1
loop_
_symmetry_equiv_pos_as_xyz
'x,y,z'
loop_
_atom_site_label
_atom_site_type_symbol
_atom_site_fract_x
_atom_site_fract_y
_atom_site_fract_z
Li1 Li 0.000 0.000 0.000
Ta1 Ta 0.000 0.000 0.500
Ta2 Ta 0.000 0.500 0.000
Ta3 Ta 0.500 0.000 0.000
Al1 Al 0.500 0.500 0.500
```

Summary:
Energy of formation (eV per atom): 0.962
SG: Pm-3m (221)
Uncorrected energy (eV/atom): -7.7804
Crystal system: cubic